[1]
{
  "formula": "Cs2Hg15Au2",
  "functional": "GGA-PBE",
  "state": "relaxed",
  "e_form_ev_per_atom": -0.11,
  "final_energy_ev_per_atom": -0.787,
  "lattice_angstrom": [[-3.477, 4.814, 5.858], [-3.347, -5.687, 5.514], [6.294, -1.127, 6.938]],
  "species": ["Hg", "Hg", "Hg", "Hg", "Hg", "Hg", "Cs", "Hg", "Hg", "Hg", "Cs", "Hg", "Hg", "Hg", "Hg", "Hg", "Au", "Au", "Hg"],
  "fractional_positions": [[0.950, 0.346, 0.045], [0.289, 0.001, 0.730], [0.605, 0.157, 0.661], [0.748, 0.019, 0.341], [0.938, 0.242, 0.733], [0.263, 0.681, 0.985], [0.618, 0.645, 0.647], [0.337, 0.790, 0.322], [0.894, 0.764, 0.870], [0.811, 0.360, 0.381], [0.309, 0.277, 0.313], [0.967, 0.684, 0.254], [0.315, 0.361, 0.861], [0.037, 0.950, 0.542], [0.115, 0.563, 0.593], [0.614, 0.598, 0.111], [0.900, 0.014, 0.036], [0.224, 0.031, 0.045], [0.567, 0.016, 0.032]]
}

[2]
{
  "formula": "LaSBr3",
  "functional": "GGA-PBE",
  "state": "relaxed",
  "final_energy_ev_per_atom": -3.113,
  "e_form_raw_ev_per_atom": -0.299,
  "polymorph_energy_mev_per_atom": 622,
  "lattice_angstrom": [[5.300, 0.000, 0.000], [0.000, 5.300, 0.000], [0.000, 0.000, 5.300]],
  "species": ["Br", "Br", "Br", "La", "S"],
  "fractional_positions": [[0.500, 0.000, 0.000], [0.000, 0.000, 0.500], [0.000, 0.500, 0.000], [0.500, 0.500, 0.500], [0.000, 0.000, 0.000]]
}

[3]
{
  "formula": "LiTaZn2",
  "functional": "GGA-PBE",
  "state": "relaxed",
  "e_form_ev_per_atom": 0.11,
  "final_energy_ev_per_atom": -3.966,
  "polymorph_energy_mev_per_atom": 180,
  "lattice_angstrom": [[5.669, -0.002, 0.009], [2.950, 4.841, -0.009], [-3.567, -3.741, 2.327]],
  "species": ["Zn", "Li", "Ta", "Zn"],
  "fractional_positions": [[0.013, 0.013, 0.000], [0.480, 0.480, 0.000], [0.764, 0.264, 0.500], [0.244, 0.744, 0.500]]
}

[4]
{
  "formula": "YRu2Cl",
  "functional": "GGA-PBE",
  "state": "relaxed",
  "final_energy_ev_per_atom": -7.043,
  "e_form_raw_ev_per_atom": -0.327,
  "polymorph_energy_mev_per_atom": 0,
  "lattice_angstrom": [[-1.740, -0.787, 3.470], [0.041, -3.688, 1.445], [5.867, 1.335, 3.248]],
  "species": ["Y", "Ru", "Cl", "Ru"],
  "fractional_positions": [[0.458, 0.458, 0.539], [0.125, 0.125, 0.888], [0.125, 0.125, 0.280], [0.792, 0.792, 0.793]]
}

[5]
{
  "formula": "Nd2MgPa",
  "functional": "GGA-PBE",
  "state": "relaxed",
  "e_form_ev_per_atom": 0.09,
  "final_energy_ev_per_atom": -5.065,
  "polymorph_energy_mev_per_atom": 0,
  "lattice_angstrom": [[3.427, 0.000, 0.000], [0.000, 3.427, 0.000], [0.000, 0.000, 9.957]],
  "species": ["Nd", "Mg", "Nd", "Pa"],
  "fractional_positions": [[0.000, 0.000, 0.748], [0.500, 0.500, 0.000], [0.000, 0.000, 0.252], [0.500, 0.500, 0.500]]
}

[6]
{
  "formula": "Be2PPb",
  "functional": "GGA-PBE",
  "state": "relaxed",
  "e_form_ev_per_atom": 0.78,
  "final_energy_ev_per_atom": -3.361,
  "polymorph_energy_mev_per_atom": 636,
  "lattice_angstrom": [[-2.288, -1.153, 2.556], [3.831, -2.569, 2.272], [0.756, 2.871, 1.972]],
  "species": ["Pb", "Be", "Be", "P"],
  "fractional_positions": [[0.000, 0.500, 0.500], [0.000, 0.000, 0.000], [0.500, 0.500, 0.000], [0.500, 0.000, 0.500]]
}

| no. | magnetization (μB per formula unit) |
| --- | --- |
| 1 | 0.00 |
| 2 | 0.57 |
| 3 | 0.00 |
| 4 | 0.00 |
| 5 | 0.01 |
| 6 | 0.00 |